# 1
Entry from the Alexandria database: a relaxed structure of SiAg2Pb (PBE).

ΔE to the lowest computed polymorph: 0.03 eV per formula unit
electronic total energy: -41.2 eV per cell
magnetic moment: 0.0 μB/f.u.
energy relative to the elements, uncorrected: 0.274 eV per atom

Structure (CIF):
```
data_SiAg2Pb
_chemical_formula_sum 'Si3 Ag6 Pb3'
_cell_length_a 3.2620
_cell_length_b 3.2620
_cell_length_c 26.9846
_cell_angle_alpha 90.00
_cell_angle_beta 90.00
_cell_angle_gamma 120.00
_space_group_name_H-M_alt 'R -3 m'
_space_group_IT_number 166
_space_group_name_Hall '-R 3 2"'
loop_
_atom_site_label
_atom_site_fract_x
_atom_site_fract_y
_atom_site_fract_z
Si1 0.0000 0.0000 0.0000
Ag1 0.0000 0.0000 0.2628
Pb1 0.0000 0.0000 0.5000
```

---

# 2
Entry from the Alexandria database: a relaxed structure of SmCuGe2Pt5 (PBE).

electronic total energy: -52.6 eV per cell
magnetic moment: 0.0 μB/f.u.
energy of formation from the pure elements: -488 meV/atom

Structure (CIF):
```
data_SmCuGe2Pt5
_chemical_formula_sum 'Sm1 Cu1 Ge2 Pt5'
_cell_length_a 4.1535
_cell_length_b 4.1535
_cell_length_c 9.3295
_cell_angle_alpha 90.00
_cell_angle_beta 90.00
_cell_angle_gamma 90.00
_space_group_name_H-M_alt 'P 4/m m m'
_space_group_IT_number 123
_space_group_name_Hall '-P 4 2'
loop_
_atom_site_label
_atom_site_fract_x
_atom_site_fract_y
_atom_site_fract_z
Sm1 0.0000 0.0000 0.0000
Cu1 0.0000 0.0000 0.5000
Ge1 0.5000 0.5000 0.3726
Pt1 0.0000 0.5000 0.2313
Pt2 0.5000 0.5000 0.0000
```

---

# 3
Entry from the Alexandria database: a relaxed structure of Ho6Co2Ir (PBE).

ΔE to the lowest computed polymorph: 0.70 eV per formula unit
electronic total energy: -106.2 eV per cell
magnetic moment: 0.0 μB/f.u.
energy of formation from the pure elements: -282 meV/atom

Structure (CIF):
```
data_Ho6Co2Ir
_chemical_formula_sum 'Ho12 Co4 Ir2'
_cell_length_a 6.4756
_cell_length_b 7.1355
_cell_length_c 11.4593
_cell_angle_alpha 90.00
_cell_angle_beta 122.70
_cell_angle_gamma 90.00
_space_group_name_H-M_alt 'P 1 21/c 1'
_space_group_IT_number 14
_space_group_name_Hall '-P 2ybc'
loop_
_atom_site_label
_atom_site_fract_x
_atom_site_fract_y
_atom_site_fract_z
Ho1 0.0803 0.0533 0.2425
Ho2 0.2372 0.6698 0.0842
Ho3 0.3894 0.1660 0.0673
Co1 0.3157 0.1213 0.7796
Ir1 0.5000 0.0000 0.5000
```

---

# 4
Entry from the Alexandria database: a relaxed structure of Sc4MnRu3 (PBE).

electronic total energy: -131.6 eV per cell
magnetic moment: 3.6 μB/f.u.
energy of formation from the pure elements: -433 meV/atom

Structure (CIF):
```
data_Sc4MnRu3
_chemical_formula_sum 'Sc8 Mn2 Ru6'
_cell_length_a 4.5759
_cell_length_b 4.5759
_cell_length_c 12.9464
_cell_angle_alpha 90.00
_cell_angle_beta 90.00
_cell_angle_gamma 90.00
_space_group_name_H-M_alt 'I 4/m m m'
_space_group_IT_number 139
_space_group_name_Hall '-I 4 2'
loop_
_atom_site_label
_atom_site_fract_x
_atom_site_fract_y
_atom_site_fract_z
Sc1 0.0000 0.5000 0.1296
Mn1 0.0000 0.0000 0.0000
Ru1 0.0000 0.0000 0.2457
Ru2 0.0000 0.0000 0.5000
```

---

# 5
Entry from the Alexandria database: a relaxed structure of Be2AlCu (PBE).

electronic total energy: -44.0 eV per cell
magnetic moment: 0.0 μB/f.u.
energy of formation from the pure elements: 152 meV/atom

Structure (CIF):
```
data_Be2AlCu
_chemical_formula_sum 'Be6 Al3 Cu3'
_cell_length_a 2.6116
_cell_length_b 2.6116
_cell_length_c 23.0974
_cell_angle_alpha 90.00
_cell_angle_beta 90.00
_cell_angle_gamma 120.00
_space_group_name_H-M_alt 'R 3 m'
_space_group_IT_number 160
_space_group_name_Hall 'R 3 -2"'
loop_
_atom_site_label
_atom_site_fract_x
_atom_site_fract_y
_atom_site_fract_z
Be1 0.0000 0.0000 0.0000
Be2 0.0000 0.0000 0.2579
Al1 0.0000 0.0000 0.5056
Cu1 0.0000 0.0000 0.7463
```

---

# 6
Entry from the Alexandria database: a relaxed structure of LiIn3Hg3O8 (PBE).

electronic total energy: -128.9 eV per cell
magnetic moment: 0.0 μB/f.u.
energy relative to the elements, uncorrected: -0.918 eV per atom

Structure (CIF):
```
data_LiIn3Hg3O8
_chemical_formula_sum 'Li2 In6 Hg6 O16'
_cell_length_a 11.4605
_cell_length_b 6.5335
_cell_length_c 6.4815
_cell_angle_alpha 90.00
_cell_angle_beta 117.74
_cell_angle_gamma 90.00
_space_group_name_H-M_alt 'C 1 2/m 1'
_space_group_IT_number 12
_space_group_name_Hall '-C 2y'
loop_
_atom_site_label
_atom_site_fract_x
_atom_site_fract_y
_atom_site_fract_z
Li1 0.0000 0.0000 0.0000
In1 0.0000 0.5000 0.0000
In2 0.2500 0.2500 0.0000
Hg1 0.0000 0.0000 0.5000
Hg2 0.2500 0.2500 0.5000
O1 0.0415 0.2379 0.8130
O2 0.2166 0.5000 0.1903
O3 0.2248 0.0000 0.2549
```

---

# 7
Entry from the Alexandria database: a relaxed structure of LiCeGaCl6 (PBE).

electronic total energy: -73.7 eV per cell
magnetic moment: 0.0 μB/f.u.
energy relative to the elements, uncorrected: -1.653 eV per atom

Structure (CIF):
```
data_LiCeGaCl6
_chemical_formula_sum 'Li2 Ce2 Ga2 Cl12'
_cell_length_a 6.7662
_cell_length_b 6.7662
_cell_length_c 12.9703
_cell_angle_alpha 90.00
_cell_angle_beta 90.00
_cell_angle_gamma 120.00
_space_group_name_H-M_alt 'P -3 1 c'
_space_group_IT_number 163
_space_group_name_Hall '-P 3 2c'
loop_
_atom_site_label
_atom_site_fract_x
_atom_site_fract_y
_atom_site_fract_z
Li1 0.3333 0.6667 0.2500
Ce1 0.3333 0.6667 0.7500
Ga1 0.0000 0.0000 0.0000
Cl1 0.0033 0.3602 0.1356
```